# 1
Density functional theory data (PBE) for CsCe4I12 after structural relaxation.

Cell: 12.013 12.013 12.013 Å, 90.00 90.00 90.00°
Space group Im-3 (No. 204)
Symmetry-distinct sites (fractional):
Cs (0.000, 0.000, 0.000) x2
Ce (0.250, 0.250, 0.250) x8
I (0.000, 0.303, 0.178) x24

Results
- Calculated volume: 1734 Å³/cell
- E_form (uncorrected): -1334 meV/atom
- DOS(E_F): 76.948 states/eV per cell

=====

# 2
Density functional theory data (PBE) for BeReBr2 after structural relaxation.

Cell: 4.450 3.741 7.311 Å, 90.00 107.20 90.00°
Space group P2/m (No. 10)
Symmetry-distinct sites (fractional):
Be (0.000, 0.000, 0.000) x1
Re (0.500, 0.000, 0.000) x1
Br (0.380, 0.500, 0.754) x2

Results
- Calculated volume: 116 Å³/cell
- E_form (uncorrected): 658 meV/atom
- DOS(E_F): 3.977 states/eV per cell

=====

# 3
Density functional theory data (PBE) for YNiHg2H after structural relaxation.

Cell: 5.286 5.286 3.359 Å, 90.00 90.00 90.00°
Space group P4/mmm (No. 123)
Symmetry-distinct sites (fractional):
Y (0.000, 0.000, 0.000) x1
Ni (0.500, 0.500, 0.500) x1
Hg (0.000, 0.500, 0.500) x2
H (0.500, 0.500, 0.000) x1

Results
- Calculated volume: 94 Å³/cell
- DOS(E_F): 3.393 states/eV per cell
- Raw total energy: -3.25 eV/atom

=====

Which formula does entry 1 have?
CsCe4I12